The following is a PBE calculation of a geometry-optimized PrSm2Dy2Y structure, from the Alexandria database.

CIF file:
```
data_PrSm2Dy2Y
_chemical_formula_sum 'Pr2 Sm4 Dy4 Y2'
_symmetry_space_group_name_H-M 'P n n m'
_symmetry_Int_Tables_number 58
_symmetry_space_group_name_Hall '-P 2 2n'
_cell_length_a 6.672
_cell_length_b 17.795
_cell_length_c 3.422
_cell_angle_alpha 90.00
_cell_angle_beta 90.00
_cell_angle_gamma 90.00
loop_
_atom_site_label
_atom_site_type_symbol
_atom_site_fract_x
_atom_site_fract_y
_atom_site_fract_z
_atom_site_occupancy
Pr1 Pr 0.000 0.000 0.000 1
Sm1 Sm 0.227 0.348 0.500 1
Dy1 Dy 0.232 0.181 0.000 1
Y1 Y 0.000 0.500 0.000 1
```

Output
total DFT energy (no corrections): -4.718 eV/atom
DFT formation energy: 0.263 eV per atom
calculated volume: 33.86 A^3/atom

***

The following is a PBE calculation of a geometry-optimized Pr3Sm2Dy6Y structure, from the Alexandria database.

CIF file:
```
data_Pr3Sm2Dy6Y
_chemical_formula_sum 'Pr6 Sm4 Dy12 Y2'
_symmetry_space_group_name_H-M 'C 1 2/m 1'
_symmetry_Int_Tables_number 12
_symmetry_space_group_name_Hall '-C 2y'
_cell_length_a 6.252
_cell_length_b 10.826
_cell_length_c 11.889
_cell_angle_alpha 90.00
_cell_angle_beta 100.06
_cell_angle_gamma 90.00
loop_
_atom_site_label
_atom_site_type_symbol
_atom_site_fract_x
_atom_site_fract_y
_atom_site_fract_z
_atom_site_occupancy
Pr1 Pr 0.000 0.000 0.000 1
Pr2 Pr 0.000 0.333 0.000 1
Sm1 Sm 0.000 0.166 0.500 1
Dy1 Dy 0.249 0.000 0.748 1
Dy2 Dy 0.250 0.167 0.253 1
Y1 Y 0.000 0.500 0.500 1
```

Output
total DFT energy (no corrections): -4.805 eV/atom
DFT formation energy: 0.016 eV per atom
calculated volume: 33.01 A^3/atom

***

The following is a PBE calculation of a geometry-optimized Pr6SmDyY2 structure, from the Alexandria database.

CIF file:
```
data_Pr6SmDyY2
_chemical_formula_sum 'Pr24 Sm4 Dy4 Y8'
_symmetry_space_group_name_H-M 'C 1 2/c 1'
_symmetry_Int_Tables_number 15
_symmetry_space_group_name_Hall '-C 2yc'
_cell_length_a 9.473
_cell_length_b 15.392
_cell_length_c 9.683
_cell_angle_alpha 90.00
_cell_angle_beta 96.58
_cell_angle_gamma 90.00
loop_
_atom_site_label
_atom_site_type_symbol
_atom_site_fract_x
_atom_site_fract_y
_atom_site_fract_z
_atom_site_occupancy
Pr1 Pr 0.062 0.175 0.442 1
Pr2 Pr 0.093 0.388 0.616 1
Pr3 Pr 0.216 0.222 0.813 1
Sm1 Sm 0.000 0.032 0.750 1
Dy1 Dy 0.000 0.411 0.250 1
Y1 Y 0.249 0.047 0.050 1
```

Output
total DFT energy (no corrections): -4.978 eV/atom
DFT formation energy: 0.115 eV per atom
calculated volume: 35.07 A^3/atom